Density functional theory data (PBE) for an optimized crystal structure of Sc3Mo.

Lattice parameters (Å, degrees): 5.623 5.845 3.052 74.87 90.00 118.75
Sites, in units of the cell vectors:
Sc1 0.487 0.000 0.500
Sc2 0.586 0.530 0.735
Sc3 0.056 0.470 0.265
Mo1 0.038 0.000 0.000

Calculated values
The density of states at the Fermi level comes out at 5.1 states/eV per cell. Its relative energy among the computed polymorphs is 120 meV per atom. Its formation energy is 17.8 kJ per mole of atoms. The space-group type is Imm2 (44).